[1]
DFT (SCAN) results for a PBEsol-optimized structure of Zr2CuMo.

Lattice parameters (Å, degrees): 4.557 4.557 3.342 90.00 90.00 90.00
Positions (direct):
Zr  0.000  0.500  0.000
Zr  0.500  0.000  0.000
Cu  0.000  0.000  0.500
Mo  0.500  0.500  0.500

Results
Polymorph energy (0 for the lowest one) ... 0.007 eV per atom


[2]
DFT (SCAN) results for a PBEsol-optimized structure of TlCuIr2.

Lattice parameters (Å, degrees): 2.812 2.812 9.030 90.00 90.00 118.76
Positions (direct):
Tl  0.000  0.000  0.000
Cu  0.000  0.000  0.500
Ir  0.500  0.500  0.272
Ir  0.500  0.500  0.728

Results
Polymorph energy (0 for the lowest one) ... 0.074 eV per atom


[3]
DFT (SCAN) results for a PBEsol-optimized structure of GePBr2.

Lattice parameters (Å, degrees): 9.491 9.491 9.491 20.40 20.40 20.40
Positions (direct):
Ge  0.000  0.000  0.000
P  0.500  0.500  0.500
Br  0.412  0.412  0.412
Br  0.588  0.588  0.588

Results
Polymorph energy (0 for the lowest one) ... 0.000 eV per atom


[4]
DFT (SCAN) results for a PBEsol-optimized structure of TcNiIr2.

Lattice parameters (Å, degrees): 2.676 2.676 7.342 90.00 90.00 90.00
Positions (direct):
Tc  0.000  0.000  0.000
Ni  0.500  0.500  0.764
Ir  0.000  0.000  0.525
Ir  0.500  0.500  0.260

Results
Polymorph energy (0 for the lowest one) ... 0.147 eV per atom


[5]
DFT (SCAN) results for a PBEsol-optimized structure of CuTc2Ir.

Lattice parameters (Å, degrees): 3.711 3.711 3.889 90.00 90.00 90.00
Positions (direct):
Cu  0.000  0.000  0.000
Tc  0.000  0.500  0.500
Tc  0.500  0.000  0.500
Ir  0.500  0.500  0.000

Results
Energy ... -38.95 eV per atom


[6]
DFT (SCAN) results for a PBEsol-optimized structure of K2LiRhF6.

Lattice parameters (Å, degrees): 5.663 5.663 5.663 60.00 60.00 60.00
Positions (direct):
K  0.250  0.250  0.250
K  0.750  0.750  0.750
Li  0.000  0.000  0.000
Rh  0.500  0.500  0.500
F  0.253  0.253  0.747
F  0.253  0.747  0.253
F  0.253  0.747  0.747
F  0.747  0.253  0.253
F  0.747  0.253  0.747
F  0.747  0.747  0.253

Results
Energy ... -10.08 eV per atom


[7]
DFT (SCAN) results for a PBEsol-optimized structure of KB6PH4O14.

Lattice parameters (Å, degrees): 12.041 12.041 7.661 90.00 90.00 90.00
Positions (direct):
K  0.250  0.250  0.101
K  0.250  0.250  0.601
K  0.750  0.750  0.399
K  0.750  0.750  0.899
B  0.061  0.068  0.310
B  0.061  0.432  0.810
B  0.068  0.061  0.810
B  0.068  0.439  0.310
B  0.132  0.632  0.250
B  0.132  0.868  0.750
B  0.368  0.632  0.750
B  0.368  0.868  0.250
B  0.432  0.061  0.310
B  0.432  0.439  0.810
B  0.439  0.068  0.810
B  0.439  0.432  0.310
B  0.561  0.568  0.690
B  0.561  0.932  0.190
B  0.568  0.561  0.190
B  0.568  0.939  0.690
B  0.632  0.132  0.750
B  0.632  0.368  0.250
B  0.868  0.132  0.250
B  0.868  0.368  0.750
B  0.932  0.561  0.690
B  0.932  0.939  0.190
B  0.939  0.568  0.190
B  0.939  0.932  0.690
P  0.250  0.750  0.000
P  0.250  0.750  0.500
P  0.750  0.250  0.000
P  0.750  0.250  0.500
H  0.038  0.225  0.849
H  0.038  0.275  0.349
H  0.225  0.038  0.349
H  0.225  0.462  0.849
H  0.275  0.038  0.849
H  0.275  0.462  0.349
H  0.462  0.225  0.349
H  0.462  0.275  0.849
H  0.538  0.725  0.151
H  0.538  0.775  0.651
H  0.725  0.538  0.651
H  0.725  0.962  0.151
H  0.775  0.538  0.151
H  0.775  0.962  0.651
H  0.962  0.725  0.651
H  0.962  0.775  0.151
O  0.019  0.649  0.186
O  0.019  0.851  0.686
O  0.037  0.537  0.750
O  0.037  0.963  0.250
O  0.096  0.166  0.864
O  0.096  0.334  0.364
O  0.149  0.519  0.314
O  0.149  0.715  0.389
O  0.149  0.785  0.889
O  0.149  0.981  0.814
O  0.166  0.096  0.364
O  0.166  0.404  0.864
O  0.215  0.649  0.111
O  0.215  0.851  0.611
O  0.285  0.649  0.611
O  0.285  0.851  0.111
O  0.334  0.096  0.864
O  0.334  0.404  0.364
O  0.351  0.519  0.814
O  0.351  0.715  0.889
O  0.351  0.785  0.389
O  0.351  0.981  0.314
O  0.404  0.166  0.364
O  0.404  0.334  0.864
O  0.463  0.537  0.250
O  0.463  0.963  0.750
O  0.481  0.649  0.686
O  0.481  0.851  0.186
O  0.519  0.149  0.814
O  0.519  0.351  0.314
O  0.537  0.037  0.250
O  0.537  0.463  0.750
O  0.596  0.666  0.136
O  0.596  0.834  0.636
O  0.649  0.019  0.686
O  0.649  0.215  0.611
O  0.649  0.285  0.111
O  0.649  0.481  0.186
O  0.666  0.596  0.636
O  0.666  0.904  0.136
O  0.715  0.149  0.889
O  0.715  0.351  0.389
O  0.785  0.149  0.389
O  0.785  0.351  0.889
O  0.834  0.596  0.136
O  0.834  0.904  0.636
O  0.851  0.019  0.186
O  0.851  0.215  0.111
O  0.851  0.285  0.611
O  0.851  0.481  0.686
O  0.904  0.666  0.636
O  0.904  0.834  0.136
O  0.963  0.037  0.750
O  0.963  0.463  0.250
O  0.981  0.149  0.314
O  0.981  0.351  0.814

Results
Energy ... -8.58 eV per atom


[8]
DFT (SCAN) results for a PBEsol-optimized structure of IrClO2.

Lattice parameters (Å, degrees): 9.592 9.592 9.592 17.19 17.19 17.19
Positions (direct):
Ir  0.000  0.000  0.000
Cl  0.500  0.500  0.500
O  0.061  0.061  0.061
O  0.939  0.939  0.939

Results
Energy ... -22.69 eV per atom